A relaxed LiCrPb3 crystal. Source: Alexandria via LeMat-Bulk, functional PBE.

Computed properties:
Its excess energy over the best structure of this formula in the dataset is 0 meV/atom. The total energy comes out at -4.172 eV per atom. The calculated density is 7.868 Mg/m³.

a = 5.2369 Å, b = 5.2369 Å, c = 5.2369 Å
α = 90.00°, β = 90.00°, γ = 90.00°
Closest atoms and distances in Å follow each position.
Space group Pm-3m (No. 221)
Symmetry-distinct sites (fractional):
Li 0.0000 0.0000 0.0000  12 Pb 3.70
Cr 0.5000 0.5000 0.5000  6 Pb 2.62
Pb 0.0000 0.5000 0.5000  2 Cr 2.62

A relaxed Cs3Ac2MnSe6 crystal. Source: Alexandria via LeMat-Bulk, functional PBE.

Computed properties:
The total energy comes out at -4.763 eV per atom. Its raw formation energy is -1.36 eV per atom. The calculated density is 5.319 Mg/m³.

a = 7.8649 Å, b = 13.0440 Å, c = 8.8446 Å
α = 90.00°, β = 108.08°, γ = 90.00°
Closest atoms and distances in Å follow each position.
Space group C2/m (No. 12)
Symmetry-distinct sites (fractional):
Cs 0.0000 0.0000 0.0000  6 Se 3.58-3.62
Cs 0.0000 0.3268 0.0000  6 Se 3.54-3.93
Ac 0.0000 0.1633 0.5000  6 Se 3.07-3.19
Mn 0.0000 0.5000 0.5000  4 Se 2.60
Se 0.2010 0.3583 0.6735  1 Mn 2.60
Se 0.2378 0.0000 0.7140  2 Ac 3.07, 1 Mn 3.20

A relaxed AlFe2Co crystal. Source: Alexandria via LeMat-Bulk, functional PBE.

Computed properties:
The total energy comes out at -7.136 eV per atom. The calculated density is 6.894 Mg/m³.

a = 8.8316 Å, b = 3.0127 Å, c = 4.0127 Å
α = 90.00°, β = 116.93°, γ = 90.00°
Closest atoms and distances in Å follow each position.
Space group Cm (No. 8)
Symmetry-distinct sites (fractional):
Al 0.0000 0.0000 0.0000  4 Co 2.50-2.79, 8 Fe 2.51-2.76
Fe 0.0022 0.5000 0.5022  2 Fe 2.43, 2 Co 2.44, 4 Al 2.51
Fe 0.2594 0.5000 0.2598  2 Fe 2.43, 4 Co 2.51, 2 Al 2.54
Co 0.2467 0.0000 0.7467  6 Fe 2.44-2.51, 2 Al 2.50

A relaxed Ta2B2Os5W crystal. Source: Alexandria via LeMat-Bulk, functional PBE.

Computed properties:
The total energy comes out at -10.934 eV per atom. The calculated density is 18.498 Mg/m³.

a = 9.5912 Å, b = 9.5912 Å, c = 2.9636 Å
α = 90.00°, β = 90.00°, γ = 90.00°
Closest atoms and distances in Å follow each position.
Space group P4/mbm (No. 127)
Symmetry-distinct sites (fractional):
Ta 0.1775 0.3225 0.0000  3 B 2.74-2.91, 10 Os 2.83-2.98, 2 Ta 2.96
B 0.1206 0.6206 0.0000  6 Os 2.18-2.21
Os 0.0000 0.5000 0.5000  4 B 2.21
Os 0.0715 0.7806 0.5000  2 B 2.18
W 0.0000 0.0000 0.0000  8 Os 2.66, 2 W 2.96

A relaxed Np2MnTl3Te6 crystal. Source: Alexandria via LeMat-Bulk, functional PBE.

Computed properties:
The total energy comes out at -5.526 eV per atom. Its raw formation energy is -0.44 eV per atom. The calculated density is 7.797 Mg/m³.

a = 7.5861 Å, b = 13.1301 Å, c = 8.5437 Å
α = 90.00°, β = 107.27°, γ = 90.00°
Closest atoms and distances in Å follow each position.
Space group C2/m (No. 12)
Symmetry-distinct sites (fractional):
Np 0.0000 0.1655 0.0000  6 Te 3.09
Mn 0.0000 0.5000 0.0000  6 Te 2.93-2.97
Tl 0.0000 0.0000 0.5000  6 Te 3.45-3.54
Tl 0.0000 0.3265 0.5000  6 Te 3.45-3.52
Te 0.2267 0.3411 0.2052  1 Mn 2.93, 2 Np 3.09
Te 0.2490 0.5000 0.7890  1 Mn 2.97, 2 Np 3.09

A relaxed CsMg3Ta crystal. Source: Alexandria via LeMat-Bulk, functional PBE.

Computed properties:
Its excess energy over the best structure of this formula in the dataset is 1391 meV/atom. The total energy comes out at -1.168 eV per atom. The calculated density is 3.916 Mg/m³.

a = 5.4739 Å, b = 5.4739 Å, c = 5.4739 Å
α = 90.00°, β = 90.00°, γ = 90.00°
Closest atoms and distances in Å follow each position.
Space group Pm-3m (No. 221)
Symmetry-distinct sites (fractional):
Cs 0.0000 0.0000 0.0000  6 Mg 2.74
Mg 0.0000 0.0000 0.5000  2 Cs 2.74
Ta 0.5000 0.5000 0.5000  12 Mg 3.87

A relaxed ZrTcS2 crystal. Source: Alexandria via LeMat-Bulk, functional PBE.

Computed properties:
Its excess energy over the best structure of this formula in the dataset is 59 meV/atom. The total energy comes out at -7.349 eV per atom. Its raw formation energy is -0.56 eV per atom. The calculated density is 6.899 Mg/m³.

a = 6.2480 Å, b = 6.2480 Å, c = 6.2480 Å
α = 90.00°, β = 90.00°, γ = 90.00°
Closest atoms and distances in Å follow each position.
Space group Fm-3m (No. 225)
Symmetry-distinct sites (fractional):
Zr 0.0000 0.0000 0.0000  8 S 2.71
Tc 0.0000 0.0000 0.5000  8 S 2.71
S 0.2500 0.2500 0.2500  4 Zr 2.71, 4 Tc 2.71

A relaxed NaCu2Si2 crystal. Source: Alexandria via LeMat-Bulk, functional PBE.

Computed properties:
Its excess energy over the best structure of this formula in the dataset is 0 meV/atom. The total energy comes out at -4.104 eV per atom. Its raw formation energy is -0.03 eV per atom. The calculated density is 4.244 Mg/m³.

a = 4.0463 Å, b = 4.0463 Å, c = 9.8582 Å
α = 90.00°, β = 90.00°, γ = 90.00°
Closest atoms and distances in Å follow each position.
Space group I4/mmm (No. 139)
Symmetry-distinct sites (fractional):
Na 0.0000 0.0000 0.0000  8 Si 3.10, 8 Cu 3.19
Cu 0.0000 0.5000 0.2500  4 Si 2.39
Si 0.0000 0.0000 0.3797  1 Si 2.37, 4 Cu 2.39

A relaxed ZnCr2PbCl8 crystal. Source: Alexandria via LeMat-Bulk, functional PBE.

Computed properties:
The total energy comes out at -4.194 eV per atom. Its raw formation energy is -0.94 eV per atom. The calculated density is 3.696 Mg/m³.

a = 6.0909 Å, b = 7.7838 Å, c = 6.2599 Å
α = 90.00°, β = 91.63°, γ = 90.00°
Closest atoms and distances in Å follow each position.
Space group P2/m (No. 10)
Symmetry-distinct sites (fractional):
Zn 0.0000 0.0000 0.0000  4 Cl 2.45
Cr 0.5000 0.2352 0.5000  6 Cl 2.49-2.56
Pb 0.0000 0.5000 0.0000  6 Cl 2.84-2.92
Cl 0.2246 0.2164 0.1883  1 Zn 2.45, 1 Cr 2.54
Cl 0.2920 0.0000 0.6729  2 Cr 2.49, 1 Zn 2.75
Cl 0.3123 0.5000 0.6537  2 Cr 2.56

A relaxed RbLiThCl6 crystal. Source: Alexandria via LeMat-Bulk, functional PBE.

Computed properties:
The total energy comes out at -4.454 eV per atom. Its raw formation energy is -2.08 eV per atom. The calculated density is 2.900 Mg/m³.

a = 6.9478 Å, b = 6.9478 Å, c = 14.7146 Å
α = 90.00°, β = 90.00°, γ = 120.00°
Closest atoms and distances in Å follow each position.
Space group P-31c (No. 163)
Symmetry-distinct sites (fractional):
Rb 0.0000 0.0000 0.0000  6 Cl 3.36
Li 0.3333 0.6667 0.2500  6 Cl 2.65
Th 0.3333 0.6667 0.7500  6 Cl 2.70
Cl 0.0060 0.3745 0.1464  1 Li 2.65, 1 Th 2.70

A relaxed Mo2RuAu crystal. Source: Alexandria via LeMat-Bulk, functional PBE.

Computed properties:
Its excess energy over the best structure of this formula in the dataset is 0 meV/atom. The total energy comes out at -8.463 eV per atom. The calculated density is 12.926 Mg/m³.

a = 2.8106 Å, b = 3.9817 Å, c = 5.6237 Å
α = 90.00°, β = 90.00°, γ = 90.00°
Closest atoms and distances in Å follow each position.
Space group Pmmm (No. 47)
Symmetry-distinct sites (fractional):
Mo 0.0000 0.0000 0.2256  3 Mo 2.54-2.81, 4 Ru 2.75
Ru 0.5000 0.5000 0.0000  8 Mo 2.75, 2 Ru 2.81, 2 Au 2.81
Au 0.5000 0.5000 0.5000  2 Au 2.81, 2 Ru 2.81, 8 Mo 2.88

A relaxed K2Ba2Ag crystal. Source: Alexandria via LeMat-Bulk, functional PBE.

Computed properties:
Its excess energy over the best structure of this formula in the dataset is 105 meV/atom. The total energy comes out at -1.578 eV per atom. The calculated density is 2.853 Mg/m³.

a = 8.7439 Å, b = 8.7439 Å, c = 7.0146 Å
α = 90.00°, β = 90.00°, γ = 90.00°
Closest atoms and distances in Å follow each position.
Space group P4/mbm (No. 127)
Symmetry-distinct sites (fractional):
K 0.1506 0.3494 0.0000  2 Ag 3.33, 1 K 3.72
Ba 0.1833 0.6833 0.5000  2 K 4.06, 5 Ba 4.52-4.53
Ag 0.0000 0.0000 0.0000  4 K 3.33

Q: The highest calculated density belongs to which entry?
A: Ta2B2Os5W